Pr4Cu2Ag: relaxed, PBE-GGA.

a = 5.1651 Å, b = 5.1651 Å, c = 24.8803 Å
α = 90.00°, β = 90.00°, γ = 120.00°
Space group R-3m (No. 166, hexagonal axes)
One atom of each set of equivalent atoms:
Pr: 0.0000 0.0000 0.1194 [6 per cell]
Pr: 0.0000 0.0000 0.3700 [6 per cell]
Cu: 0.0000 0.0000 0.2484 [6 per cell]
Ag: 0.0000 0.0000 0.5000 [3 per cell]

Results
Calculated total energy in eV/cell: -91.2
Magnetic moment in μB/f.u.: 0.70